[1]
First-principles (GGA-PBE) data for a relaxed structure of AlAgAu4, as listed in Alexandria.

The calculation puts the energy of formation from the pure elements at -0.160 eV per atom. For the calculated total energy, the calculation gives -3.44 eV/atom. The calculation puts the energy above the lowest structure with this stoichiometry at 0.0 meV per atom.

Unit cell a=4.2491 b=24.5830 c=4.2500 alpha=90.00 beta=90.00 gamma=90.00
Space group Cmmm (No. 65)
Unique sites:
Al1 0.0000 0.0654 0.0000 x4
Ag1 0.0000 0.2907 0.5000 x4
Au1 0.0000 0.0000 0.5000 x2
Au2 0.0000 0.1256 0.5000 x4
Au3 0.0000 0.2092 0.0000 x4
Au4 0.0000 0.3740 0.0000 x4
Au5 0.0000 0.5000 0.0000 x2

[2]
First-principles (GGA-PBE) data for a relaxed structure of LiFeC2, as listed in Alexandria.

The calculation puts the energy of formation from the pure elements at 0.736 eV per atom. For the calculated total energy, the calculation gives -6.47 eV/atom. The calculation puts the energy above the lowest structure with this stoichiometry at 0.0 meV per atom.

Unit cell a=4.2894 b=4.2894 c=11.0539 alpha=90.00 beta=90.00 gamma=90.00
Space group I4_1/amd (No. 141, origin choice 2)
Unique sites:
Li1 0.0000 0.2500 0.3750 x4
Fe1 0.0000 0.2500 0.8750 x4
C1 0.0000 0.0000 0.0000 x8

[3]
First-principles (GGA-PBE) data for a relaxed structure of CoRu4Pb, as listed in Alexandria.

The calculation puts the energy of formation from the pure elements at 0.753 eV per atom. For the calculated total energy, the calculation gives -7.23 eV/atom.

Unit cell a=7.3198 b=7.3198 c=7.3198 alpha=90.00 beta=90.00 gamma=90.00
Space group F-43m (No. 216)
Unique sites:
Co1 0.0000 0.0000 0.0000 x4
Ru1 0.1254 0.1254 0.6254 x16
Pb1 0.2500 0.2500 0.2500 x4

[4]
First-principles (GGA-PBE) data for a relaxed structure of BaP2Au, as listed in Alexandria.

The calculation puts the energy of formation from the pure elements at -0.305 eV per atom. For the calculated total energy, the calculation gives -4.31 eV/atom. The calculation puts the energy above the lowest structure with this stoichiometry at 270.4 meV per atom.

Unit cell a=10.3807 b=3.5144 c=5.8303 alpha=90.00 beta=115.41 gamma=90.00
Space group Cm (No. 8)
Unique sites:
Ba1 0.0000 0.0000 0.0000 x2
P1 0.0476 0.5000 0.5474 x2
P2 0.2079 0.0000 0.6062 x2
Au1 0.3131 0.5000 0.3583 x2

[5]
First-principles (GGA-PBE) data for a relaxed structure of ScPdAu2, as listed in Alexandria.

The calculation puts the energy of formation from the pure elements at -0.350 eV per atom. For the calculated total energy, the calculation gives -4.87 eV/atom.

Unit cell a=7.5573 b=7.5573 c=5.4571 alpha=90.00 beta=90.00 gamma=90.00
Space group I-42d (No. 122)
Unique sites:
Sc1 0.0000 0.0000 0.0000 x4
Pd1 0.0000 0.0000 0.5000 x4
Au1 0.2460 0.2500 0.6250 x8

[6]
First-principles (GGA-PBE) data for a relaxed structure of MnIn2Ru2, as listed in Alexandria.

The calculation puts the energy of formation from the pure elements at 0.716 eV per atom. For the calculated total energy, the calculation gives -5.92 eV/atom. The calculation puts the energy above the lowest structure with this stoichiometry at 383.6 meV per atom.

Unit cell a=7.4435 b=7.4435 c=3.1015 alpha=90.00 beta=90.00 gamma=90.00
Space group P4/mbm (No. 127)
Unique sites:
Mn1 0.0000 0.0000 0.0000 x2
In1 0.1412 0.3588 0.0000 x4
Ru1 0.1597 0.6597 0.5000 x4

[7]
First-principles (GGA-PBE) data for a relaxed structure of TbOsF, as listed in Alexandria.

For the calculated total energy, the calculation gives -7.50 eV/atom.

Unit cell a=3.0789 b=3.0789 c=9.7499 alpha=90.00 beta=90.00 gamma=90.00
Space group P4/nmm (No. 129, origin choice 2)
Unique sites:
Tb1 0.2500 0.2500 0.1993 x2
Os1 0.2500 0.2500 0.5766 x2
F1 0.2500 0.2500 0.9251 x2

[8]
First-principles (GGA-PBE) data for a relaxed structure of Er3Pd2, as listed in Alexandria.

The calculation puts the energy of formation from the pure elements at -0.656 eV per atom. For the calculated total energy, the calculation gives -5.47 eV/atom. The calculation puts the energy above the lowest structure with this stoichiometry at 104.9 meV per atom.

Unit cell a=17.6421 b=4.2428 c=10.5484 alpha=90.00 beta=97.45 gamma=90.00
Space group C2/m (No. 12)
Unique sites:
Er1 0.0000 0.0000 0.0000 x2
Er2 0.0366 0.0000 0.6594 x4
Er3 0.1254 0.5000 0.2789 x4
Er4 0.1715 0.5000 0.9559 x4
Er5 0.2071 0.5000 0.6163 x4
Pd1 0.0273 0.5000 0.8263 x4
Pd2 0.1344 0.0000 0.4630 x4
Pd3 0.1854 0.0000 0.1385 x4

[9]
First-principles (GGA-PBE) data for a relaxed structure of NiTe2Cl, as listed in Alexandria.

For the calculated total energy, the calculation gives -3.10 eV/atom.

Unit cell a=3.2655 b=3.2655 c=30.1225 alpha=90.00 beta=90.00 gamma=120.00
Space group R-3m (No. 166, hexagonal axes)
Unique sites:
Ni1 0.0000 0.0000 0.0000 x3
Te1 0.0000 0.0000 0.0817 x6
Cl1 0.0000 0.0000 0.5000 x3

[10]
First-principles (GGA-PBE) data for a relaxed structure of DyPuMgZn, as listed in Alexandria.

The calculation puts the energy of formation from the pure elements at -0.004 eV per atom. For the calculated total energy, the calculation gives -5.45 eV/atom.

Unit cell a=7.3373 b=7.3373 c=7.3373 alpha=90.00 beta=90.00 gamma=90.00
Space group F-43m (No. 216)
Unique sites:
Dy1 0.0000 0.0000 0.0000 x4
Pu1 0.0000 0.0000 0.5000 x4
Mg1 0.2500 0.2500 0.7500 x4
Zn1 0.2500 0.2500 0.2500 x4

[11]
First-principles (GGA-PBE) data for a relaxed structure of MgTlSi2, as listed in Alexandria.

For the calculated total energy, the calculation gives -3.28 eV/atom. The calculation puts the energy above the lowest structure with this stoichiometry at 268.7 meV per atom.

Unit cell a=5.7935 b=8.8389 c=3.2158 alpha=90.00 beta=93.19 gamma=90.00
Space group C2/m (No. 12)
Unique sites:
Mg1 0.0000 0.0000 0.0000 x2
Tl1 0.0000 0.5000 0.0000 x2
Si1 0.2500 0.2500 0.5000 x4

[12]
First-principles (GGA-PBE) data for a relaxed structure of CoTc2, as listed in Alexandria.

The calculation puts the energy of formation from the pure elements at 0.779 eV per atom. For the calculated total energy, the calculation gives -8.50 eV/atom. The calculation puts the energy above the lowest structure with this stoichiometry at 766.7 meV per atom.

Unit cell a=5.6727 b=5.6727 c=5.6727 alpha=90.00 beta=90.00 gamma=90.00
Space group Pa-3 (No. 205)
Unique sites:
Co1 0.0000 0.0000 0.0000 x4
Tc1 0.1154 0.6154 0.8846 x8

[13]
First-principles (GGA-PBE) data for a relaxed structure of Sn5IrS2, as listed in Alexandria.

For the calculated total energy, the calculation gives -4.85 eV/atom.

Unit cell a=10.3121 b=6.6551 c=12.8443 alpha=90.00 beta=109.82 gamma=90.00
Space group P2_1/c (No. 14)
Unique sites:
Sn1 0.0478 0.2394 0.1664 x4
Sn2 0.1109 0.7423 0.6622 x4
Sn3 0.2499 0.1089 0.4998 x4
Sn4 0.3894 0.7418 0.3381 x4
Sn5 0.4520 0.2424 0.8321 x4
Ir1 0.0000 0.0000 0.5000 x2
Ir2 0.5000 0.0000 0.5000 x2
S1 0.2175 0.0939 0.8541 x4
S2 0.2824 0.0899 0.1438 x4

[14]
First-principles (GGA-PBE) data for a relaxed structure of TlSn3Hg, as listed in Alexandria.

The calculation puts the energy of formation from the pure elements at 0.054 eV per atom. For the calculated total energy, the calculation gives -2.88 eV/atom. The calculation puts the energy above the lowest structure with this stoichiometry at 16.9 meV per atom.

Unit cell a=4.9998 b=17.6690 c=6.7399 alpha=90.00 beta=90.00 gamma=90.00
Space group Cmcm (No. 63)
Unique sites:
Tl1 0.0000 0.0875 0.2500 x4
Sn1 0.0000 0.1392 0.7500 x4
Sn2 0.0000 0.3049 0.5248 x8
Hg1 0.0000 0.4761 0.2500 x4

[15]
First-principles (GGA-PBE) data for a relaxed structure of GePd3Pt, as listed in Alexandria.

The calculation puts the energy of formation from the pure elements at 0.473 eV per atom. For the calculated total energy, the calculation gives -4.77 eV/atom. The calculation puts the energy above the lowest structure with this stoichiometry at 749.6 meV per atom.

Unit cell a=4.5653 b=4.5653 c=4.5653 alpha=90.00 beta=90.00 gamma=90.00
Space group Pm-3m (No. 221)
Unique sites:
Ge1 0.0000 0.0000 0.0000 x1
Pd1 0.0000 0.0000 0.5000 x3
Pt1 0.5000 0.5000 0.5000 x1

[16]
First-principles (GGA-PBE) data for a relaxed structure of KTc2Sb, as listed in Alexandria.

For the calculated total energy, the calculation gives -5.63 eV/atom.

Unit cell a=3.6231 b=3.6231 c=7.4819 alpha=90.00 beta=90.00 gamma=90.00
Space group P4/mmm (No. 123)
Unique sites:
K1 0.0000 0.0000 0.0000 x1
Tc1 0.5000 0.5000 0.3488 x2
Sb1 0.0000 0.0000 0.5000 x1

[17]
First-principles (GGA-PBE) data for a relaxed structure of Li2Mg8Pd, as listed in Alexandria.

The calculation puts the energy of formation from the pure elements at -0.161 eV per atom. For the calculated total energy, the calculation gives -2.14 eV/atom.

Unit cell a=14.1973 b=4.8036 c=7.4047 alpha=90.00 beta=119.10 gamma=90.00
Space group C2/m (No. 12)
Unique sites:
Li1 0.2261 0.0000 0.1397 x4
Mg1 0.0486 0.0000 0.2246 x4
Mg2 0.0953 0.5000 0.9372 x4
Mg3 0.1307 0.0000 0.6755 x4
Mg4 0.1739 0.5000 0.4220 x4
Pd1 0.0000 0.5000 0.5000 x2

[18]
First-principles (GGA-PBE) data for a relaxed structure of Ce2NiN, as listed in Alexandria.

For the calculated total energy, the calculation gives -6.92 eV/atom. The calculation puts the energy above the lowest structure with this stoichiometry at 74.8 meV per atom.

Unit cell a=3.2661 b=3.2661 c=23.9171 alpha=90.00 beta=90.00 gamma=120.00
Space group R-3m (No. 166, hexagonal axes)
Unique sites:
Ce1 0.0000 0.0000 0.1041 x6
Ni1 0.0000 0.0000 0.0000 x3
N1 0.0000 0.0000 0.5000 x3

[19]
First-principles (GGA-PBE) data for a relaxed structure of SrY4Ru, as listed in Alexandria.

The calculation puts the energy of formation from the pure elements at 0.746 eV per atom. For the calculated total energy, the calculation gives -5.39 eV/atom.

Unit cell a=9.0663 b=9.0663 c=9.0663 alpha=90.00 beta=90.00 gamma=90.00
Space group F-43m (No. 216)
Unique sites:
Sr1 0.0000 0.0000 0.0000 x4
Y1 0.1232 0.1232 0.6232 x16
Ru1 0.2500 0.2500 0.2500 x4

[20]
First-principles (GGA-PBE) data for a relaxed structure of As3Pd, as listed in Alexandria.

The calculation puts the energy of formation from the pure elements at -0.059 eV per atom. For the calculated total energy, the calculation gives -4.84 eV/atom.

Unit cell a=3.6215 b=5.2986 c=3.9842 alpha=90.00 beta=90.00 gamma=90.00
Space group Pmm2 (No. 25)
Unique sites:
As1 0.0000 0.0000 0.0000 x1
As2 0.0000 0.5000 0.0542 x1
As3 0.5000 0.0000 0.5724 x1
Pd1 0.5000 0.5000 0.5384 x1

[21]
First-principles (GGA-PBE) data for a relaxed structure of Tb4DyCo, as listed in Alexandria.

The calculation puts the energy of formation from the pure elements at -0.021 eV per atom. For the calculated total energy, the calculation gives -5.06 eV/atom.

Unit cell a=11.9040 b=3.5799 c=8.2961 alpha=90.00 beta=109.92 gamma=90.00
Space group C2/m (No. 12)
Unique sites:
Tb1 0.1250 0.0000 0.3788 x4
Tb2 0.1709 0.0000 0.7973 x4
Dy1 0.0000 0.5000 0.0000 x2
Co1 0.0000 0.5000 0.5000 x2

[22]
First-principles (GGA-PBE) data for a relaxed structure of BaMgIr3, as listed in Alexandria.

The calculation puts the energy of formation from the pure elements at 2.370 eV per atom. For the calculated total energy, the calculation gives -3.65 eV/atom. The calculation puts the energy above the lowest structure with this stoichiometry at 1411.0 meV per atom.

Unit cell a=5.1169 b=5.1169 c=5.1169 alpha=90.00 beta=90.00 gamma=90.00
Space group Pm-3m (No. 221)
Unique sites:
Ba1 0.0000 0.0000 0.0000 x1
Mg1 0.5000 0.5000 0.5000 x1
Ir1 0.0000 0.0000 0.5000 x3

[23]
First-principles (GGA-PBE) data for a relaxed structure of MnAl4Tc, as listed in Alexandria.

The calculation puts the energy of formation from the pure elements at -0.075 eV per atom. For the calculated total energy, the calculation gives -5.83 eV/atom. The calculation puts the energy above the lowest structure with this stoichiometry at 0.0 meV per atom.

Unit cell a=5.3606 b=7.1781 c=5.3460 alpha=90.00 beta=116.02 gamma=90.00
Space group C2/m (No. 12)
Unique sites:
Mn1 0.0000 0.0000 0.0000 x2
Al1 0.2468 0.3099 0.2532 x8
Tc1 0.0000 0.5000 0.5000 x2

[24]
First-principles (GGA-PBE) data for a relaxed structure of NiAgCl2, as listed in Alexandria.

For the calculated total energy, the calculation gives -3.19 eV/atom. The calculation puts the energy above the lowest structure with this stoichiometry at 183.6 meV per atom.

Unit cell a=3.8058 b=6.3700 c=7.6773 alpha=90.00 beta=90.00 gamma=90.00
Space group Cmm2 (No. 35)
Unique sites:
Ni1 0.0000 0.0000 0.0000 x2
Ag1 0.0000 0.5000 0.7641 x2
Cl1 0.0000 0.0000 0.5641 x2
Cl2 0.0000 0.5000 0.1291 x2